Entry 1:
DFT (PBE) results for a geometry-optimized NaMgAg2 structure.

The formation energy comes out at 0.214 eV per atom. The calculation puts the total magnetic moment at 0.00 μB/cell. The theoretical density is 4.80 g/cm³. The calculation puts the density of states at the Fermi level at 6.49 states/eV per cell.

The space group is I-42d (No. 122) and the conventional cell measures 4.302, 4.302 and 19.671 Å, with angles of 90.00, 90.00 and 90.00 degrees. The inequivalent atoms are Na at (0.000, 0.000, 0.000), Mg at (0.000, 0.000, 0.500) and Ag at (0.229, 0.250, 0.625).

---

Entry 2:
DFT (PBE) results for a geometry-optimized NaMgAg structure.

The energy above the most stable polymorph in this dataset is 0.000 eV per atom. The formation energy comes out at -0.071 eV per atom. The calculation puts the total magnetic moment at 0.00 μB/cell. The theoretical density is 3.64 g/cm³. The calculation puts the density of states at the Fermi level at 2.39 states/eV per cell.

The space group is P-1 (No. 2) and the conventional cell measures 5.487, 5.547 and 5.933 Å, with angles of 105.00, 104.63 and 116.41 degrees. The inequivalent atoms are Na at (0.164, 0.332, 0.000), Mg at (0.326, 0.826, 0.653) and Ag at (0.251, 0.251, 0.501).

---

Entry 3:
DFT (PBE) results for a geometry-optimized NaMgAg2 structure.

The formation energy comes out at -0.018 eV per atom. The calculation puts the total magnetic moment at 0.00 μB/cell. The theoretical density is 4.96 g/cm³. The calculation puts the density of states at the Fermi level at 3.17 states/eV per cell.

The space group is P2_1/m (No. 11) and the conventional cell measures 4.317, 7.349 and 5.930 Å, with angles of 90.00, 110.70 and 90.00 degrees. The inequivalent atoms are Na at (0.065, 0.250, 0.123), Mg at (0.220, 0.750, 0.448) and Ag at (0.378, 0.055, 0.751).

---

Entry 4:
DFT (PBE) results for a geometry-optimized NaMg2Ag structure.

The formation energy comes out at 0.178 eV per atom. The calculation puts the total magnetic moment at 0.00 μB/cell. The theoretical density is 3.01 g/cm³. The calculation puts the density of states at the Fermi level at 6.52 states/eV per cell.

The space group is I-42d (No. 122) and the conventional cell measures 4.356, 4.356 and 20.882 Å, with angles of 90.00, 90.00 and 90.00 degrees. The inequivalent atoms are Na at (0.000, 0.000, 0.000), Mg at (0.230, 0.250, 0.625) and Ag at (0.000, 0.000, 0.500).

---

Entry 5:
DFT (PBE) results for a geometry-optimized NaMgAg4 structure.

The energy above the most stable polymorph in this dataset is 0.060 eV per atom. The formation energy comes out at 0.013 eV per atom. The calculation puts the total magnetic moment at 0.00 μB/cell. The theoretical density is 6.50 g/cm³. The calculation puts the density of states at the Fermi level at 3.20 states/eV per cell.

The space group is Pmma (No. 51) and the conventional cell measures 8.225, 4.079 and 7.287 Å, with angles of 90.00, 90.00 and 90.00 degrees. The inequivalent atoms are Na at (0.250, 0.000, 0.160), Mg at (0.250, 0.000, 0.752), Ag at (0.000, 0.000, 0.500), Ag at (0.026, 0.500, 0.806) and Ag at (0.250, 0.500, 0.473).

---

Entry 6:
DFT (PBE) results for a geometry-optimized NaMg2Ag structure.

The formation energy comes out at 0.013 eV per atom. The calculation puts the total magnetic moment at 0.00 μB/cell. The theoretical density is 3.39 g/cm³. The calculation puts the density of states at the Fermi level at 0.84 states/eV per cell.

The space group is P4/mmm (No. 123) and the conventional cell measures 4.610, 4.610 and 4.137 Å, with angles of 90.00, 90.00 and 90.00 degrees. The inequivalent atoms are Na at (0.000, 0.000, 0.000), Mg at (0.000, 0.500, 0.500) and Ag at (0.500, 0.500, 0.000).

---

Entry 7:
DFT (PBE) results for a geometry-optimized NaMgAg structure.

The energy above the most stable polymorph in this dataset is 0.016 eV per atom. The formation energy comes out at -0.056 eV per atom. The calculation puts the total magnetic moment at 0.00 μB/cell. The theoretical density is 3.43 g/cm³. The calculation puts the density of states at the Fermi level at 5.58 states/eV per cell.

The space group is I4/mmm (No. 139) and the conventional cell measures 3.515, 3.515 and 24.346 Å, with angles of 90.00, 90.00 and 90.00 degrees. The inequivalent atoms are Na at (0.000, 0.000, 0.074), Mg at (0.000, 0.000, 0.211) and Ag at (0.000, 0.000, 0.342).

---

Entry 8:
DFT (PBE) results for a geometry-optimized NaMgAg3 structure.

The energy above the most stable polymorph in this dataset is 0.000 eV per atom. The formation energy comes out at 0.317 eV per atom. The calculation puts the total magnetic moment at 0.00 μB/cell. The theoretical density is 4.62 g/cm³. The calculation puts the density of states at the Fermi level at 1.61 states/eV per cell.

The space group is Pm-3m (No. 221) and the conventional cell measures 5.107, 5.107 and 5.107 Å, with angles of 90.00, 90.00 and 90.00 degrees. The inequivalent atoms are Na at (0.000, 0.000, 0.000), Mg at (0.500, 0.500, 0.500) and Ag at (0.000, 0.500, 0.500).